[1]
Material: PaIrPb
Method: DFT, PBE-GGA
State: optimized geometry

Lattice parameters (Å, degrees): 6.7678 6.7678 11.7775 90.00 90.00 120.00
Space group P6_222 (No. 180)
Inequivalent atoms, fractional coordinates:
Pa (0.0000, 0.5000, 0.3775) x6
Ir (0.2372, 0.6186, 0.1667) x6
Pb (0.0000, 0.0000, 0.1667) x3
Pb (0.0000, 0.5000, 0.6667) x3

Properties
Its formation energy is -0.2256 eV/atom. The size of the total moment is 0.0000 μB/atom. The value obtained for the total energy is -22.74 eV per formula unit. The value obtained for the density of states at the Fermi level is 20.0 states/eV/cell.

[2]
Material: HoAl2Ag
Method: DFT, PBE-GGA
State: optimized geometry

Lattice parameters (Å, degrees): 4.3000 4.3000 4.3048 90.00 90.00 90.00
Space group P4/mmm (No. 123)
Inequivalent atoms, fractional coordinates:
Ho (0.0000, 0.0000, 0.0000) x1
Al (0.0000, 0.5000, 0.5000) x2
Ag (0.5000, 0.5000, 0.0000) x1

Properties
Its formation energy is -0.3020 eV/atom. The size of the total moment is 0.0000 μB/atom. The value obtained for the total energy is -16.12 eV per formula unit. The value obtained for the density of states at the Fermi level is 1.4 states/eV/cell.

[3]
Material: Mn2ReRu
Method: DFT, PBE-GGA
State: optimized geometry

Lattice parameters (Å, degrees): 2.6576 3.6348 5.3408 90.00 90.00 90.00
Space group Pmmm (No. 47)
Inequivalent atoms, fractional coordinates:
Mn (0.0000, 0.0000, 0.2461) x2
Re (0.5000, 0.5000, 0.5000) x1
Ru (0.5000, 0.5000, 0.0000) x1

Properties
Its formation energy is 0.0876 eV/atom. The size of the total moment is 0.4854 μB/atom. The value obtained for the total energy is -39.71 eV per formula unit. The value obtained for the density of states at the Fermi level is 4.0 states/eV/cell.

[4]
Material: SrBeRh2
Method: DFT, PBE-GGA
State: optimized geometry

Lattice parameters (Å, degrees): 3.1800 3.1800 6.8776 90.00 90.00 90.00
Space group P4mm (No. 99)
Inequivalent atoms, fractional coordinates:
Sr (0.0000, 0.0000, 0.0000) x1
Be (0.5000, 0.5000, 0.3657) x1
Rh (0.0000, 0.0000, 0.4456) x1
Rh (0.5000, 0.5000, 0.7036) x1

Properties
Its formation energy is 0.0198 eV/atom. The size of the total moment is 0.0006 μB/atom. The value obtained for the total energy is -20.03 eV per formula unit. The value obtained for the density of states at the Fermi level is 5.4 states/eV/cell.

[5]
Material: Ca6Mg3In
Method: DFT, PBE-GGA
State: optimized geometry

Lattice parameters (Å, degrees): 9.7764 5.6889 12.2280 90.00 107.51 90.00
Space group P2_1/m (No. 11)
Inequivalent atoms, fractional coordinates:
Ca (0.0279, 0.2500, 0.4066) x2
Ca (0.1374, 0.7500, 0.1780) x2
Ca (0.2693, 0.2500, 0.9958) x2
Ca (0.3495, 0.2500, 0.3085) x2
Ca (0.3536, 0.7500, 0.8167) x2
Ca (0.4195, 0.2500, 0.6153) x2
Mg (0.0495, 0.7500, 0.8905) x2
Mg (0.1321, 0.2500, 0.7099) x2
Mg (0.2613, 0.7500, 0.4801) x2
In (0.4342, 0.7500, 0.1136) x2

Properties
Its formation energy is -0.1398 eV/atom. The size of the total moment is 0.0000 μB/atom. The value obtained for the total energy is -20.93 eV per formula unit. The value obtained for the density of states at the Fermi level is 15.8 states/eV/cell.

[6]
Material: Th4NiBi2
Method: DFT, PBE-GGA
State: optimized geometry

Lattice parameters (Å, degrees): 16.4882 4.1928 7.1612 90.00 115.62 90.00
Space group C2/m (No. 12)
Inequivalent atoms, fractional coordinates:
Th (0.0998, 0.0000, 0.4353) x4
Th (0.1007, 0.5000, 0.9344) x4
Ni (0.0000, 0.0000, 0.0000) x2
Bi (0.2495, 0.5000, 0.7464) x4

Properties
Its formation energy is -0.2410 eV/atom. The size of the total moment is 0.0002 μB/atom. The value obtained for the total energy is -44.91 eV per formula unit. The value obtained for the density of states at the Fermi level is 17.8 states/eV/cell.

[7]
Material: Ag8SbS6
Method: DFT, PBE-GGA
State: optimized geometry

Lattice parameters (Å, degrees): 10.3619 10.3619 9.8915 90.00 90.00 120.00
Space group R-3 (No. 148, hexagonal axes)
Inequivalent atoms, fractional coordinates:
Ag (0.0000, 0.0000, 0.1829) x6
Ag (0.0681, 0.5943, 0.3276) x18
Sb (0.0000, 0.0000, 0.5000) x3
S (0.0298, 0.7733, 0.1809) x18

Properties
The calculation puts the uncorrected formation energy at 103.8 meV/atom. The size of the total moment is 0.0000 μB/atom. The value obtained for the total energy is -50.14 eV per formula unit. The value obtained for the density of states at the Fermi level is 18.8 states/eV/cell.

[8]
Material: HoEr2MgRh4
Method: DFT, PBE-GGA
State: optimized geometry

Lattice parameters (Å, degrees): 4.7125 4.7125 23.1320 90.00 90.00 120.00
Space group R-3m (No. 166, hexagonal axes)
Inequivalent atoms, fractional coordinates:
Ho (0.0000, 0.0000, 0.0000) x3
Er (0.0000, 0.0000, 0.2449) x6
Mg (0.0000, 0.0000, 0.5000) x3
Rh (0.0000, 0.0000, 0.1248) x6
Rh (0.0000, 0.0000, 0.3762) x6

Properties
Its formation energy is -0.8528 eV/atom. The size of the total moment is 0.0000 μB/atom. The value obtained for the total energy is -51.53 eV per formula unit. The value obtained for the density of states at the Fermi level is 6.9 states/eV/cell.

[9]
Material: Pm2DyZn3
Method: DFT, PBE-GGA
State: optimized geometry

Lattice parameters (Å, degrees): 5.1274 5.1274 6.2843 90.00 90.00 120.00
Space group P-3m1 (No. 164)
Inequivalent atoms, fractional coordinates:
Pm (0.3333, 0.6667, 0.1728) x2
Dy (0.0000, 0.0000, 0.5000) x1
Zn (0.0000, 0.0000, 0.0000) x1
Zn (0.3333, 0.6667, 0.6652) x2

Properties
Its formation energy is -0.3226 eV/atom. The size of the total moment is 0.0001 μB/atom. The value obtained for the total energy is -19.86 eV per formula unit. The value obtained for the density of states at the Fermi level is 6.5 states/eV/cell.

[10]
Material: Pm3SiSe2
Method: DFT, PBE-GGA
State: optimized geometry

Lattice parameters (Å, degrees): 4.2286 5.9543 12.6982 90.00 90.00 90.00
Space group Immm (No. 71)
Inequivalent atoms, fractional coordinates:
Pm (0.0000, 0.0000, 0.0000) x2
Pm (0.0000, 0.0000, 0.3410) x4
Si (0.0000, 0.5000, 0.0000) x2
Se (0.0000, 0.5000, 0.3318) x4

Properties
The calculation puts the uncorrected formation energy at -1543.4 meV/atom. The size of the total moment is 0.0000 μB/atom. The value obtained for the total energy is -35.90 eV per formula unit. The value obtained for the density of states at the Fermi level is 4.2 states/eV/cell.

[11]
Material: NaAcPrAu
Method: DFT, PBE-GGA
State: optimized geometry

Lattice parameters (Å, degrees): 7.8792 7.8792 7.8792 90.00 90.00 90.00
Space group F-43m (No. 216)
Inequivalent atoms, fractional coordinates:
Na (0.0000, 0.0000, 0.0000) x4
Ac (0.2500, 0.2500, 0.7500) x4
Pr (0.2500, 0.2500, 0.2500) x4
Au (0.0000, 0.0000, 0.5000) x4

Properties
Its formation energy is -0.1638 eV/atom. The size of the total moment is 0.1194 μB/atom. The value obtained for the total energy is -14.14 eV per formula unit. The value obtained for the density of states at the Fermi level is 18.3 states/eV/cell.

[12]
Material: BaHg6Pd3
Method: DFT, PBE-GGA
State: optimized geometry

Lattice parameters (Å, degrees): 6.1317 6.1351 8.1541 68.03 67.97 60.07
Space group P1 (No. 1)
Inequivalent atoms, fractional coordinates:
Ba (0.0000, 0.0000, 0.0000) x1
Hg (0.1031, 0.6509, 0.6862) x1
Hg (0.3975, 0.8983, 0.2910) x1
Hg (0.4131, 0.3986, 0.2911) x1
Hg (0.5608, 0.1022, 0.6861) x1
Hg (0.6504, 0.5598, 0.6869) x1
Hg (0.8971, 0.4147, 0.2911) x1
Pd (0.1409, 0.1418, 0.5755) x1
Pd (0.3358, 0.3360, 0.9907) x1
Pd (0.6699, 0.6704, 0.9909) x1

Properties
Its formation energy is -0.2391 eV/atom. The size of the total moment is 0.0000 μB/atom. The value obtained for the total energy is -21.70 eV per formula unit. The value obtained for the density of states at the Fermi level is 3.7 states/eV/cell.